! Cd2TcMo, optimized geometry, DFT PBEsol; values from VASP
&SYSTEM
  ibrav = 0, nat = 4, ntyp = 3
/
ATOMIC_SPECIES
Cd 112.41 Cd.upf
Tc 98.00 Tc.upf
Mo 95.94 Mo.upf
ATOMIC_POSITIONS angstrom
Cd 0.000 0.000 0.000
Cd 1.655 2.139 0.000
Tc 0.000 2.139 2.351
Mo 1.655 0.000 2.351
CELL_PARAMETERS angstrom
3.311 0.000 0.000
0.000 4.277 0.000
0.000 0.000 4.702
! * E above lowest polymorph: 0.090 eV/atom
! * space group: No. 47
! * ΔE_f: 487 meV/atom
! * total magnetization: 0.000 μB per atom
! * DFT total energy: -23.481 eV per cell

=====

! ErPbAu, optimized geometry, DFT PBEsol; values from VASP
&SYSTEM
  ibrav = 0, nat = 3, ntyp = 3
/
ATOMIC_SPECIES
Er 167.26 Er.upf
Pb 207.20 Pb.upf
Au 196.97 Au.upf
ATOMIC_POSITIONS angstrom
Er 0.000 0.000 0.000
Pb 3.340 3.340 3.340
Au 5.010 5.010 5.010
CELL_PARAMETERS angstrom
0.000 3.340 3.340
3.340 0.000 3.340
3.340 3.340 0.000
! * space group: No. 216
! * ΔE_f: -699 meV/atom
! * total magnetization: 0.000 μB per atom
! * DFT total energy: -14.946 eV per cell

=====

! La2ZrAs, optimized geometry, DFT PBEsol; values from VASP
&SYSTEM
  ibrav = 0, nat = 4, ntyp = 3
/
ATOMIC_SPECIES
La 138.91 La.upf
Zr 91.22 Zr.upf
As 74.92 As.upf
ATOMIC_POSITIONS angstrom
La 0.000 0.000 1.501
La 0.000 0.000 5.328
Zr 1.969 1.969 3.414
As 1.969 1.969 0.000
CELL_PARAMETERS angstrom
3.938 0.000 0.000
0.000 3.938 0.000
0.000 0.000 6.828
! * space group: No. 123
! * ΔE_f: -405 meV/atom
! * total magnetization: 0.429 μB per atom
! * DFT total energy: -26.507 eV per cell

=====

Repeat the first record exactly.
! Cd2TcMo, optimized geometry, DFT PBEsol; values from VASP
&SYSTEM
  ibrav = 0, nat = 4, ntyp = 3
/
ATOMIC_SPECIES
Cd 112.41 Cd.upf
Tc 98.00 Tc.upf
Mo 95.94 Mo.upf
ATOMIC_POSITIONS angstrom
Cd 0.000 0.000 0.000
Cd 1.655 2.139 0.000
Tc 0.000 2.139 2.351
Mo 1.655 0.000 2.351
CELL_PARAMETERS angstrom
3.311 0.000 0.000
0.000 4.277 0.000
0.000 0.000 4.702
! * E above lowest polymorph: 0.090 eV/atom
! * space group: No. 47
! * ΔE_f: 487 meV/atom
! * total magnetization: 0.000 μB per atom
! * DFT total energy: -23.481 eV per cell

=====

Look up the DFT total energy of the first one.
-23.481 eV per cell